No. 1
## K2RbCdF6 (PBE)

Data for a relaxed K2RbCdF6 crystal.

Lattice parameters (Å, degrees): 8.9371 8.9371 8.9371 90.00 90.00 90.00
Space group Fm-3m (No. 225)
Asymmetric unit:
K 0.2500 0.2500 0.2500 x8
Rb 0.0000 0.0000 0.0000 x4
Cd 0.0000 0.0000 0.5000 x4
F 0.0000 0.0000 0.2670 x24


No. 2
## Be2SbPt (PBE)

Data for a relaxed Be2SbPt crystal.

Lattice parameters (Å, degrees): 6.2388 6.2388 6.2388 90.00 90.00 90.00
Space group F-43m (No. 216)
Asymmetric unit:
Be 0.0000 0.0000 0.0000 x4
Be 0.2500 0.2500 0.2500 x4
Sb 0.0000 0.0000 0.5000 x4
Pt 0.2500 0.2500 0.7500 x4


No. 3
## HgCl2O2 (PBE)

Data for a relaxed HgCl2O2 crystal.

Lattice parameters (Å, degrees): 4.8371 4.8371 3.7069 90.00 90.00 90.00
Space group P4/mmm (No. 123)
Asymmetric unit:
Hg 0.0000 0.0000 0.0000 x1
Cl 0.0000 0.5000 0.5000 x2
O 0.5000 0.5000 0.1654 x2


no.,total energy (eV per formula unit)
1,-37.1
2,-16.2
3,-13.0